Below is a geometry-optimized Ag3HPt structure, with properties calculated at the PBE level.

E = -2.409 eV per atom
DOS at the Fermi energy = 2.48 states/eV/cell
total magnetization = 0.48 Bohr magnetons per cell

a = 5.191 Å, b = 5.191 Å, c = 5.191 Å
α = 90.00°, β = 90.00°, γ = 90.00°
Fractional positions:
Ag 0.000 0.000 0.500
Ag 0.000 0.500 0.000
Ag 0.500 0.000 0.000
H 0.500 0.500 0.500
Pt 0.000 0.000 0.000